DFT (GGA-PBEsol) results for a relaxed structure of ZrTlTe2N.

Structure (CIF):
```
data_ZrTlTe2N
_cell_length_a 5.6785
_cell_length_b 5.6785
_cell_length_c 4.0417
_cell_angle_alpha 90.00
_cell_angle_beta 90.00
_cell_angle_gamma 90.00
_symmetry_space_group_name_H-M 'P 4/m m m'
_symmetry_Int_Tables_number 123
_symmetry_space_group_name_Hall '-P 4 2'
loop_
_atom_site_label
_atom_site_fract_x
_atom_site_fract_y
_atom_site_fract_z
Zr1 0.0000 0.0000 0.0000
Tl1 0.5000 0.5000 0.5000
Te1 0.0000 0.5000 0.5000
N1 0.5000 0.5000 0.0000
```

**Raw formation energy**: 1040 meV per atom